Record 1
KCdMo2O8 | PBE+U | optimized geometry

Calculated values
DOS at the Fermi energy   0.96 states/eV per atom

Cell: 6.424 6.424 6.424 Å, 106.92 106.92 114.70°
Last column: magnetic moment on the atom in μB.
Fractional coordinates of all 12 atoms:
Cd (0.250, 0.750, 0.500)  0.00
O (0.842, 0.648, 0.195)  0.10
O (0.352, 0.158, 0.805)  0.10
O (0.453, 0.648, 0.805)  0.10
O (0.913, 0.231, 0.318)  0.17
O (0.769, 0.087, 0.682)  0.17
O (0.352, 0.547, 0.195)  0.10
O (0.913, 0.595, 0.682)  0.17
O (0.405, 0.087, 0.318)  0.17
Mo (0.500, 0.500, 0.000)  -0.08
Mo (0.750, 0.250, 0.500)  -0.12
K (0.000, 0.000, 0.000)  0.00

=====

Record 2
K2Cd2MoO6 | PBE+U | optimized geometry

Cell: 5.708 5.708 6.584 Å, 99.59 99.59 117.92°
Fractional coordinates of all 11 atoms:
O (0.656, 0.944, 0.319)
O (0.344, 0.056, 0.681)
O (0.783, 0.783, 0.677)
O (0.217, 0.217, 0.323)
O (0.944, 0.656, 0.319)
O (0.056, 0.344, 0.681)
Mo (0.000, 0.000, 0.500)
K (0.176, 0.824, 0.000)
K (0.824, 0.176, 0.000)
Cd (0.663, 0.337, 0.500)
Cd (0.337, 0.663, 0.500)

=====

Record 3
K2CdMoO4 | PBE+U | optimized geometry

Calculated values
DOS at the Fermi energy   0.00 states/eV per atom

Cell: 6.387 6.387 6.387 Å, 112.40 108.03 108.03°
Fractional coordinates of all 8 atoms:
K (0.500, 0.750, 0.250)
K (0.000, 0.000, 0.000)
O (0.740, 0.562, 0.484)
O (0.260, 0.744, 0.822)
O (0.078, 0.516, 0.256)
O (0.922, 0.178, 0.438)
Mo (0.000, 0.500, 0.500)
Cd (0.500, 0.250, 0.750)

=====

Record 4
K10Zr3CdMo12O48 | PBE+U | optimized geometry

Calculated values
DOS at the Fermi energy   0.00 states/eV per atom

Cell: 10.885 10.885 14.345 Å, 67.70 67.70 60.00°
Fractional coordinates of all 74 atoms:
O (0.840, 0.640, 0.414)
O (0.925, 0.955, 0.905)
O (0.549, 0.270, 0.603)
O (0.456, 0.154, 0.147)
O (0.133, 0.360, 0.900)
O (0.360, 0.608, 0.900)
O (0.613, 0.304, 0.213)
O (0.948, 0.758, 0.653)
O (0.694, 0.389, 0.783)
O (0.045, 0.078, 0.091)
O (0.832, 0.087, 0.712)
O (0.955, 0.215, 0.905)
O (0.577, 0.549, 0.603)
O (0.915, 0.167, 0.285)
O (0.640, 0.106, 0.414)
O (0.270, 0.577, 0.603)
O (0.242, 0.053, 0.343)
O (0.758, 0.640, 0.653)
O (0.640, 0.868, 0.098)
O (0.424, 0.731, 0.392)
O (0.640, 0.948, 0.653)
O (0.389, 0.133, 0.783)
O (0.167, 0.633, 0.285)
O (0.369, 0.832, 0.712)
O (0.087, 0.369, 0.712)
O (0.362, 0.242, 0.343)
O (0.633, 0.915, 0.285)
O (0.161, 0.895, 0.583)
O (0.053, 0.362, 0.343)
O (0.106, 0.840, 0.414)
O (0.869, 0.613, 0.213)
O (0.133, 0.694, 0.783)
O (0.545, 0.757, 0.850)
O (0.868, 0.394, 0.098)
O (0.078, 0.786, 0.091)
O (0.394, 0.640, 0.098)
O (0.731, 0.453, 0.392)
O (0.786, 0.045, 0.091)
O (0.154, 0.244, 0.147)
O (0.453, 0.424, 0.392)
O (0.304, 0.869, 0.213)
O (0.848, 0.545, 0.850)
O (0.757, 0.848, 0.850)
O (0.361, 0.161, 0.583)
O (0.608, 0.133, 0.900)
O (0.244, 0.456, 0.147)
O (0.215, 0.925, 0.905)
O (0.895, 0.361, 0.583)
Mo (0.778, 0.008, 0.843)
Mo (0.266, 0.871, 0.344)
Mo (0.008, 0.371, 0.843)
Mo (0.630, 0.993, 0.154)
Mo (0.482, 0.131, 0.653)
Mo (0.993, 0.223, 0.154)
Mo (0.371, 0.778, 0.843)
Mo (0.520, 0.266, 0.344)
Mo (0.131, 0.734, 0.653)
Mo (0.223, 0.630, 0.154)
Mo (0.734, 0.482, 0.653)
Mo (0.871, 0.520, 0.344)
K (0.109, 0.109, 0.672)
K (0.002, 0.607, 0.998)
K (0.393, 0.002, 0.998)
K (0.402, 0.402, 0.793)
K (0.501, 0.868, 0.498)
K (0.868, 0.132, 0.498)
K (0.599, 0.599, 0.203)
K (0.607, 0.393, 0.998)
K (0.892, 0.892, 0.325)
K (0.132, 0.501, 0.498)
Zr (0.249, 0.249, 0.252)
Zr (0.752, 0.752, 0.745)
Zr (0.001, 0.001, 0.998)
Cd (0.501, 0.501, 0.498)

=====

Calculated values (μB per atom) of spin magnetization for the records, taken in order: 0.093; 0.000; 0.000; 0.004.
Calculated values (eV per atom) of final energy for the records, taken in order: -6.003; -5.117; -5.251; -6.826.